Material: Cd4Pd6F19
Method: DFT, PBE-GGA
State: optimized geometry

* uncorrected formation energy: -1418 meV per atom

abc: 8.2352 8.2352 8.2352
angles: 109.47 109.47 109.47
With the nearest neighbours (Å) after each atom.
Sites, in units of the cell vectors:
Cd 0.0000 0.0000 0.7159  7 F 2.30-2.41
Cd 0.0000 0.7159 0.0000  7 F 2.30-2.41
Cd 0.2841 0.2841 0.2841  7 F 2.30-2.41
Cd 0.7159 0.0000 0.0000  7 F 2.30-2.41
Pd 0.1526 0.6526 0.5000  6 F 2.17-2.42
Pd 0.3474 0.5000 0.8474  6 F 2.17-2.42
Pd 0.5000 0.1526 0.6526  6 F 2.17-2.42
Pd 0.5000 0.8474 0.3474  6 F 2.17-2.42
Pd 0.6526 0.5000 0.1526  6 F 2.17-2.42
Pd 0.8474 0.3474 0.5000  6 F 2.17-2.42
F 0.0000 0.0000 0.0000  4 Cd 2.34
F 0.0000 0.2963 0.2963  2 Cd 2.41, 2 Pd 2.42
F 0.0000 0.7037 0.7037  2 Cd 2.41, 2 Pd 2.42
F 0.0399 0.2575 0.6513  2 Pd 2.17-2.18, 1 Cd 2.30
F 0.2176 0.9601 0.6114  2 Pd 2.17-2.18, 1 Cd 2.30
F 0.2575 0.6513 0.0399  2 Pd 2.17-2.18, 1 Cd 2.30
F 0.2963 0.0000 0.2963  2 Cd 2.41, 2 Pd 2.42
F 0.2963 0.2963 0.0000  2 Cd 2.41, 2 Pd 2.42
F 0.3487 0.6062 0.3886  2 Pd 2.17-2.18, 1 Cd 2.30
F 0.3886 0.3487 0.6062  2 Pd 2.17-2.18, 1 Cd 2.30
F 0.3938 0.7425 0.7824  2 Pd 2.17-2.18, 1 Cd 2.30
F 0.6062 0.3886 0.3487  2 Pd 2.17-2.18, 1 Cd 2.30
F 0.6114 0.2176 0.9601  2 Pd 2.17-2.18, 1 Cd 2.30
F 0.6513 0.0399 0.2575  2 Pd 2.17-2.18, 1 Cd 2.30
F 0.7037 0.0000 0.7037  2 Cd 2.41, 2 Pd 2.42
F 0.7037 0.7037 0.0000  2 Cd 2.41, 2 Pd 2.42
F 0.7425 0.7824 0.3938  2 Pd 2.17-2.18, 1 Cd 2.30
F 0.7824 0.3938 0.7425  2 Pd 2.17-2.18, 1 Cd 2.30
F 0.9601 0.6114 0.2176  2 Pd 2.17-2.18, 1 Cd 2.30